This record from the Alexandria database describes a relaxed K3BaCu crystal. The functional is PBE.

a = 8.1784 Å, b = 8.1784 Å, c = 8.1784 Å
α = 90.00°, β = 90.00°, γ = 90.00°
Positions (direct):
K  0.0000  0.0000  0.5000
K  0.0000  0.5000  0.0000
K  0.5000  0.0000  0.0000
Ba  0.0000  0.0000  0.0000
Cu  0.5000  0.5000  0.5000

Results
DFT formation energy: 0.9643 eV/atom
D(E_F): 1.09 states/eV/cell
energy above the lowest structure with this stoichiometry: 642 meV per atom

***

This record from the Alexandria database describes a relaxed Pa2TcNi crystal. The functional is PBE.

a = 4.8047 Å, b = 4.8047 Å, c = 4.8047 Å
α = 60.00°, β = 60.00°, γ = 60.00°
Positions (direct):
Pa  0.2500  0.2500  0.2500
Pa  0.7500  0.7500  0.7500
Tc  0.0000  0.0000  0.0000
Ni  0.5000  0.5000  0.5000

Results
DFT formation energy: -0.1518 eV/atom
D(E_F): 7.91 states/eV/cell
energy above the lowest structure with this stoichiometry: 182 meV per atom

***

This record from the Alexandria database describes a relaxed SnPd6Pt3 crystal. The functional is PBE.

a = 8.8327 Å, b = 4.0112 Å, c = 8.9881 Å
α = 90.00°, β = 91.50°, γ = 90.00°
Positions (direct):
Sn  0.0668  0.2500  0.3763
Sn  0.9332  0.7500  0.6237
Pd  0.1390  0.2500  0.6895
Pd  0.1590  0.7500  0.1915
Pd  0.2433  0.7500  0.4983
Pd  0.2511  0.2500  0.9938
Pd  0.3452  0.7500  0.7964
Pd  0.3602  0.2500  0.2963
Pd  0.6398  0.7500  0.7037
Pd  0.6548  0.2500  0.2036
Pd  0.7489  0.7500  0.0062
Pd  0.7567  0.2500  0.5017
Pd  0.8410  0.2500  0.8085
Pd  0.8610  0.7500  0.3105
Pt  0.0489  0.7500  0.9040
Pt  0.4493  0.2500  0.5984
Pt  0.4550  0.7500  0.0975
Pt  0.5450  0.2500  0.9025
Pt  0.5507  0.7500  0.4016
Pt  0.9511  0.2500  0.0960

Results
DFT formation energy: -0.1802 eV/atom
D(E_F): 28.38 states/eV/cell